TiNi3H: relaxed, PBE-GGA.

- Energy above the lowest structure with this stoichiometry: 0.0494 eV per atom
- Spin magnetization: 0.00 μB/cell

a b c (Å): 3.6787 3.6787 3.6787
angles (deg): 90.00 90.00 90.00
Closest atoms and distances in Å follow each position.
Positions (direct):
1 Ni 0.5000 0.0000 0.0000  2 H 1.84
2 Ni 0.0000 0.0000 0.5000  2 H 1.84
3 Ni 0.0000 0.5000 0.0000  2 H 1.84
4 Ti 0.5000 0.5000 0.5000  12 Ni 2.60
5 H 0.0000 0.0000 0.0000  6 Ni 1.84